The following is a DFT calculation (PBE) of crystalline PrHo2Pb at its relaxed geometry.

Summary:
SG = No. 11
Offset from the most stable computed form = 0 meV per atom
E_form = -0.311 eV per atom

a b c (Å): 4.7757 4.7098 11.6009
angles (deg): 101.62 90.00 90.00
With the nearest neighbours (Å) after each atom.
Fractional coordinates of all 8 atoms:
Ho (0.7500, 0.0615, 0.1238)  2 Pb 3.31, 8 Ho 3.36-3.69
Ho (0.2500, 0.5557, 0.1115)  8 Ho 3.36-3.56, 2 Pb 3.38-3.39
Ho (0.2500, 0.9385, 0.8762)  2 Pb 3.31, 8 Ho 3.36-3.69
Ho (0.7500, 0.4443, 0.8885)  8 Ho 3.36-3.56, 2 Pb 3.38-3.39
Pb (0.7500, 0.8393, 0.6743)  5 Pr 3.30-3.42, 4 Ho 3.31-3.39
Pb (0.2500, 0.1607, 0.3257)  5 Pr 3.30-3.42, 4 Ho 3.31-3.39
Pr (0.7500, 0.6903, 0.3839)  5 Pb 3.30-3.42
Pr (0.2500, 0.3097, 0.6161)  5 Pb 3.30-3.42